Entry 1:
VASP calculation (PBE-GGA) on Y2TcI after structural relaxation.

Unit cell a=6.8055 b=6.8055 c=7.7550 alpha=63.97 beta=63.97 gamma=90.00
Closest atoms and distances in Å follow each position.
Atoms (fractional coordinates):
Y1 0.3750 0.4605 0.7500  2 Tc 2.54
Y2 0.5395 0.1250 0.2500  2 Tc 2.54
Y3 0.2105 0.6250 0.2500  2 Tc 2.54
Y4 0.8750 0.7895 0.7500  2 Tc 2.54
Tc1 0.5000 0.5000 0.0000  4 Y 2.54
Tc2 0.2500 0.7500 0.5000  4 Y 2.54
I1 0.0000 0.0000 0.0000  4 Y 3.23
I2 0.7500 0.2500 0.5000  4 Y 3.23

Calculated values
E_tot	-5.930	eV/atom
calculated volume	282	Å³/cell
energy above the lowest structure with this stoichiometry	63.4	kJ per mole of atoms
Fermi-level density of states	2.22	states/eV per cell
ΔE_f (raw)	0.281	eV per atom

---

Entry 2:
VASP calculation (PBE-GGA) on LiCa2Ge3 after structural relaxation.

Unit cell a=6.0598 b=6.0598 c=8.5344 alpha=110.74 beta=110.74 gamma=90.15
Closest atoms and distances in Å follow each position.
Atoms (fractional coordinates):
Ge1 0.8292 0.3380 0.1672  1 Li 2.44, 2 Ge 2.47-2.51
Ge2 0.3380 0.8292 0.1672  1 Li 2.44, 2 Ge 2.47-2.51
Ge3 0.1670 0.1670 0.3340  1 Li 2.45, 2 Ge 2.51
Ge4 0.6620 0.1708 0.8328  1 Li 2.44, 2 Ge 2.47-2.51
Ge5 0.1708 0.6620 0.8328  1 Li 2.44, 2 Ge 2.47-2.51
Ge6 0.8330 0.8330 0.6660  1 Li 2.45, 2 Ge 2.51
Li1 0.3330 0.3330 0.6660  3 Ge 2.44-2.45
Li2 0.6670 0.6670 0.3340  3 Ge 2.44-2.45
Ca1 0.7500 0.2500 0.5000  8 Ge 3.26-3.27, 4 Li 3.27
Ca2 0.7601 0.7601 0.0000  10 Ge 3.21-3.30, 2 Li 3.32
Ca3 0.2500 0.7500 0.5000  8 Ge 3.26-3.27, 4 Li 3.27
Ca4 0.2399 0.2399 0.0000  10 Ge 3.21-3.30, 2 Li 3.32

Calculated values
E_tot	-3.824	eV/atom
calculated volume	271	Å³/cell
energy above the lowest structure with this stoichiometry	4.6	kJ per mole of atoms
Fermi-level density of states	2.09	states/eV per cell